*1*
## CsNa2Sn2 (PBE)

Data for a relaxed CsNa2Sn2 crystal.

Output
The calculation puts the volume at 348 Å³ per cell. As for the calculated density: 3.98 g/cm3.

Cell and atoms, written as CIF:
```
data_CsNa2Sn2
_chemical_formula_sum 'Cs2 Na4 Sn4'
_cell_length_a 9.6217
_cell_length_b 9.6217
_cell_length_c 3.7564
_cell_angle_alpha 90.00
_cell_angle_beta 90.00
_cell_angle_gamma 90.00
_symmetry_space_group_name_H-M 'P 4/m b m'
_symmetry_Int_Tables_number 127
_symmetry_space_group_name_Hall '-P 4 2ab'
loop_
_atom_site_label
_atom_site_fract_x
_atom_site_fract_y
_atom_site_fract_z
_atom_site_occupancy
Cs1 0.0000 0.0000 0.0000 1
Na1 0.1751 0.3249 0.5000 1
Sn1 0.1078 0.6078 0.0000 1
```

*2*
## CsNa2Sn2 (PBE)

Data for a relaxed CsNa2Sn2 crystal.

Output
The calculation puts the volume at 383 Å³ per cell. As for the calculated density: 3.61 g/cm3.

Cell and atoms, written as CIF:
```
data_CsNa2Sn2
_chemical_formula_sum 'Cs2 Na4 Sn4'
_cell_length_a 5.9067
_cell_length_b 5.9067
_cell_length_c 10.9686
_cell_angle_alpha 90.00
_cell_angle_beta 90.00
_cell_angle_gamma 90.00
_symmetry_space_group_name_H-M 'I 4/m m m'
_symmetry_Int_Tables_number 139
_symmetry_space_group_name_Hall '-I 4 2'
loop_
_atom_site_label
_atom_site_fract_x
_atom_site_fract_y
_atom_site_fract_z
_atom_site_occupancy
Cs1 0.0000 0.0000 0.0000 1
Na1 0.0000 0.5000 0.2500 1
Sn1 0.0000 0.0000 0.3762 1
```

Which of them is the least stable? Correct choice: *1*.

*1*
## CsNaSn4 (PBE)

Data for a relaxed CsNaSn4 crystal.

Output
The calculation puts the volume at 234 Å³ per cell. As for the calculated density: 4.48 g/cm3.

Cell and atoms, written as CIF:
```
data_CsNaSn4
_chemical_formula_sum 'Cs1 Na1 Sn4'
_cell_length_a 4.9904
_cell_length_b 4.9904
_cell_length_c 10.8479
_cell_angle_alpha 90.00
_cell_angle_beta 90.00
_cell_angle_gamma 120.00
_symmetry_space_group_name_H-M 'P 6/m m m'
_symmetry_Int_Tables_number 191
_symmetry_space_group_name_Hall '-P 6 2'
loop_
_atom_site_label
_atom_site_fract_x
_atom_site_fract_y
_atom_site_fract_z
_atom_site_occupancy
Cs1 0.0000 0.0000 0.0000 1
Na1 0.0000 0.0000 0.5000 1
Sn1 0.3333 0.6667 0.2881 1
```

*2*
## CsNaSn4 (PBE)

Data for a relaxed CsNaSn4 crystal.

Output
The calculation puts the volume at 793 Å³ per cell. As for the calculated density: 5.29 g/cm3.

Cell and atoms, written as CIF:
```
data_CsNaSn4
_chemical_formula_sum 'Cs4 Na4 Sn16'
_cell_length_a 9.2542
_cell_length_b 9.2542
_cell_length_c 9.2542
_cell_angle_alpha 90.00
_cell_angle_beta 90.00
_cell_angle_gamma 90.00
_symmetry_space_group_name_H-M 'F -4 3 m'
_symmetry_Int_Tables_number 216
_symmetry_space_group_name_Hall 'F -4 2 3'
loop_
_atom_site_label
_atom_site_fract_x
_atom_site_fract_y
_atom_site_fract_z
_atom_site_occupancy
Cs1 0.0000 0.0000 0.0000 1
Na1 0.2500 0.2500 0.7500 1
Sn1 0.1237 0.1237 0.3763 1
```

Which of them is the least stable? Correct choice: *2*.

*1*
## CsNa2ZnSn (PBE)

Data for a relaxed CsNa2ZnSn crystal.

Output
The calculation puts the volume at 378 Å³ per cell. As for the calculated density: 1.60 g/cm3.

Cell and atoms, written as CIF:
```
data_CsNa2ZnSn
_chemical_formula_sum 'Cs1 Na2 Zn1 Sn1'
_cell_length_a 7.2852
_cell_length_b 7.2852
_cell_length_c 7.1184
_cell_angle_alpha 90.00
_cell_angle_beta 90.00
_cell_angle_gamma 90.00
_symmetry_space_group_name_H-M 'P 4/m m m'
_symmetry_Int_Tables_number 123
_symmetry_space_group_name_Hall '-P 4 2'
loop_
_atom_site_label
_atom_site_fract_x
_atom_site_fract_y
_atom_site_fract_z
_atom_site_occupancy
Cs1 0.0000 0.0000 0.0000 1
Na1 0.0000 0.5000 0.0000 1
Zn1 0.5000 0.5000 0.5000 1
Sn1 0.0000 0.0000 0.5000 1
```

*2*
## CsNa2ZnSn (PBE)

Data for a relaxed CsNa2ZnSn crystal.

Output
The calculation puts the volume at 200 Å³ per cell. As for the calculated density: 3.01 g/cm3.

Cell and atoms, written as CIF:
```
data_CsNa2ZnSn
_chemical_formula_sum 'Cs1 Na2 Zn1 Sn1'
_cell_length_a 6.1337
_cell_length_b 6.1337
_cell_length_c 5.3271
_cell_angle_alpha 90.00
_cell_angle_beta 90.00
_cell_angle_gamma 90.00
_symmetry_space_group_name_H-M 'P 4/m m m'
_symmetry_Int_Tables_number 123
_symmetry_space_group_name_Hall '-P 4 2'
loop_
_atom_site_label
_atom_site_fract_x
_atom_site_fract_y
_atom_site_fract_z
_atom_site_occupancy
Cs1 0.0000 0.0000 0.0000 1
Na1 0.0000 0.5000 0.5000 1
Zn1 0.5000 0.5000 0.0000 1
Sn1 0.5000 0.5000 0.5000 1
```

Which of them is the least stable? Correct choice: *1*.

*1*
## CsNaSr2Tl (PBE)

Data for a relaxed CsNaSr2Tl crystal.

Output
The calculation puts the volume at 281 Å³ per cell. As for the calculated density: 3.16 g/cm3.

Cell and atoms, written as CIF:
```
data_CsNaSr2Tl
_chemical_formula_sum 'Cs1 Na1 Sr2 Tl1'
_cell_length_a 6.5999
_cell_length_b 6.5999
_cell_length_c 6.4541
_cell_angle_alpha 90.00
_cell_angle_beta 90.00
_cell_angle_gamma 90.00
_symmetry_space_group_name_H-M 'P 4/m m m'
_symmetry_Int_Tables_number 123
_symmetry_space_group_name_Hall '-P 4 2'
loop_
_atom_site_label
_atom_site_fract_x
_atom_site_fract_y
_atom_site_fract_z
_atom_site_occupancy
Cs1 0.0000 0.0000 0.0000 1
Na1 0.5000 0.5000 0.0000 1
Sr1 0.0000 0.5000 0.5000 1
Tl1 0.5000 0.5000 0.5000 1
```

*2*
## CsNaSr2Tl (PBE)

Data for a relaxed CsNaSr2Tl crystal.

Output
The calculation puts the volume at 310 Å³ per cell. As for the calculated density: 2.87 g/cm3.

Cell and atoms, written as CIF:
```
data_CsNaSr2Tl
_chemical_formula_sum 'Cs1 Na1 Sr2 Tl1'
_cell_length_a 6.5619
_cell_length_b 6.5619
_cell_length_c 7.2076
_cell_angle_alpha 90.00
_cell_angle_beta 90.00
_cell_angle_gamma 90.00
_symmetry_space_group_name_H-M 'P 4/m m m'
_symmetry_Int_Tables_number 123
_symmetry_space_group_name_Hall '-P 4 2'
loop_
_atom_site_label
_atom_site_fract_x
_atom_site_fract_y
_atom_site_fract_z
_atom_site_occupancy
Cs1 0.0000 0.0000 0.0000 1
Na1 0.5000 0.5000 0.0000 1
Sr1 0.0000 0.5000 0.5000 1
Tl1 0.0000 0.0000 0.5000 1
```

Which of them is the least stable? Correct choice: *2*.